Entry from Alexandria: crystalline BaPaMoN3 at its relaxed geometry (PBE).

It has space group P2_1/m (No. 11), with a = 6.946 Å, b = 3.597 Å, c = 9.480 Å, α = 90.00°, β = 105.88° and γ = 90.00°. The distinct sites, in fractional coordinates, are Ba at (0.199, 0.250, 0.228), Pa at (0.342, 0.250, 0.850), Mo at (0.129, 0.750, 0.563), N at (0.039, 0.250, 0.657), N at (0.328, 0.750, 0.005) and N at (0.398, 0.750, 0.719).

The raw formation energy comes out at -954 meV/atom. Its total DFT energy (no corrections) is -8.825 eV per atom.

=====

Entry from Alexandria: crystalline BaPa2MoN5 at its relaxed geometry (PBE).

It has space group I4/mcm (No. 140), with a = 6.786 Å, b = 6.786 Å, c = 11.678 Å, α = 90.00°, β = 90.00° and γ = 90.00°. The distinct sites, in fractional coordinates, are Ba at (0.000, 0.000, 0.250), Pa at (0.182, 0.318, 0.000), Mo at (0.000, 0.500, 0.250), N at (0.000, 0.000, 0.000) and N at (0.142, 0.358, 0.371).

The raw formation energy comes out at -1117 meV/atom. Its total DFT energy (no corrections) is -9.269 eV per atom.

=====

Entry from Alexandria: crystalline Ba4Pa3MoN8 at its relaxed geometry (PBE).

It has space group R-3m (No. 166, hexagonal axes), with a = 7.0989 Å, b = 7.0989 Å, c = 19.1344 Å, α = 90.00°, β = 90.00° and γ = 120.00°. The distinct sites, in fractional coordinates, are Ba at (0.0000, 0.0000, 0.0000), Ba at (0.0000, 0.5000, 0.0000), Pa at (0.0000, 0.5000, 0.5000), Mo at (0.0000, 0.0000, 0.5000), N at (0.0000, 0.0000, 0.2236) and N at (0.0078, 0.5039, 0.2236).

The raw formation energy comes out at -1016 meV/atom. Its total DFT energy (no corrections) is -8.117 eV per atom.

=====

Entry from Alexandria: crystalline BaPmMoN3 at its relaxed geometry (PBE).

It has space group C2/m (No. 12), with a = 13.798 Å, b = 4.009 Å, c = 7.657 Å, α = 90.00°, β = 105.25° and γ = 90.00°. The distinct sites, in fractional coordinates, are Ba at (0.141, 0.000, 0.074), Pm at (0.158, 0.000, 0.569), Mo at (0.003, 0.500, 0.686), N at (0.005, 0.000, 0.300), N at (0.144, 0.500, 0.797) and N at (0.159, 0.500, 0.360).

The raw formation energy comes out at -819 meV/atom. Its total DFT energy (no corrections) is -7.899 eV per atom.

=====

Entry from Alexandria: crystalline BaPm2MoN4 at its relaxed geometry (PBE).

It has space group Cmcm (No. 63), with a = 3.584 Å, b = 12.721 Å, c = 12.359 Å, α = 90.00°, β = 90.00° and γ = 90.00°. The distinct sites, in fractional coordinates, are Ba at (0.000, 0.082, 0.250), Pm at (0.000, 0.371, 0.038), Mo at (0.000, 0.180, 0.750), N at (0.000, 0.000, 0.000), N at (0.000, 0.257, 0.620) and N at (0.000, 0.397, 0.250).

The raw formation energy comes out at -972 meV/atom. Its total DFT energy (no corrections) is -7.917 eV per atom.

=====

Entry from Alexandria: crystalline Ba2PmMoN4 at its relaxed geometry (PBE).

It has space group Pmn2_1 (No. 31), with a = 7.772 Å, b = 7.367 Å, c = 5.952 Å, α = 90.00°, β = 90.00° and γ = 90.00°. The distinct sites, in fractional coordinates, are Ba at (0.249, 0.161, 0.000), Pm at (0.000, 0.647, 0.016), Mo at (0.000, 0.349, 0.531), N at (0.000, 0.372, 0.846), N at (0.000, 0.586, 0.401) and N at (0.207, 0.222, 0.466).

The raw formation energy comes out at -822 meV/atom. Its total DFT energy (no corrections) is -7.414 eV per atom.

=====

Entry from Alexandria: crystalline Ba2PmMo2N6 at its relaxed geometry (PBE).

It has space group C2/m (No. 12), with a = 10.961 Å, b = 6.258 Å, c = 7.283 Å, α = 90.00°, β = 122.00° and γ = 90.00°. The distinct sites, in fractional coordinates, are Ba at (0.209, 0.000, 0.178), Pm at (0.000, 0.000, 0.500), Mo at (0.040, 0.500, 0.215), N at (0.054, 0.258, 0.783) and N at (0.238, 0.500, 0.383).

The raw formation energy comes out at -660 meV/atom. Its total DFT energy (no corrections) is -7.952 eV per atom.

=====

Entry from Alexandria: crystalline Ba2PrMoN4 at its relaxed geometry (PBE).

It has space group Pmn2_1 (No. 31), with a = 7.830 Å, b = 7.436 Å, c = 5.928 Å, α = 90.00°, β = 90.00° and γ = 90.00°. The distinct sites, in fractional coordinates, are Ba at (0.250, 0.158, 0.000), Pr at (0.000, 0.357, 0.515), Mo at (0.000, 0.652, 0.033), N at (0.000, 0.413, 0.915), N at (0.000, 0.637, 0.349) and N at (0.205, 0.777, 0.963).

The raw formation energy comes out at -803 meV/atom. Its total DFT energy (no corrections) is -7.398 eV per atom.